A plane-wave DFT calculation with GGA+U was carried out for crystalline Sc2CrFeF at its relaxed geometry.

```
data_Sc2CrFeF
_symmetry_space_group_name_H-M 'P 1'
_symmetry_Int_Tables_number 1
_cell_length_a 5.0069
_cell_length_b 4.6499
_cell_length_c 5.0069
_cell_angle_alpha 90.00
_cell_angle_beta 90.00
_cell_angle_gamma 90.00
loop_
_symmetry_equiv_pos_as_xyz
'x,y,z'
loop_
_atom_site_label
_atom_site_fract_x
_atom_site_fract_y
_atom_site_fract_z
Cr1 0.0000 0.5000 0.0000
Fe1 0.0000 0.0000 0.0000
F1 0.5000 0.5000 0.5000
Sc1 0.0000 0.0000 0.5000
Sc2 0.5000 0.0000 0.0000
```

Output
The magnetic moment is 3.595 Bohr magnetons per cell. The electronic total energy is -25.73 eV for the cell shown. Its space group is No. 123. The density of states at the Fermi level is 4.0 states/eV per cell.